# 1
Computed, not measured: BaSr2Li after structural relaxation at the GGA-PBEsol level of DFT.

```
BaSr2Li
1.0
4.341 0.000 0.000
0.000 6.576 0.000
-2.171 -3.288 6.554
Sr Ba Li
2 1 1
direct
0.712 0.712 0.425 Sr
0.288 0.288 0.575 Sr
0.500 0.000 0.000 Ba
0.000 0.500 0.000 Li
```

**DOS at the Fermi energy**: 5.3 states/eV/f.u.
**Theoretical density**: 2.835 g/cm³
**Crystal system**: orthorhombic
**Formation enthalpy at 0 K**: 0.039 eV per atom

=====

# 2
Computed, not measured: ZnRuBr2 after structural relaxation at the GGA-PBEsol level of DFT.

```
ZnRuBr2
1.0
-1.135 -3.288 0.458
0.072 1.232 -4.412
6.339 -1.924 1.902
Br Ru Zn
2 1 1
direct
0.982 0.964 0.088 Br
0.148 0.297 0.647 Br
0.533 0.067 0.344 Ru
0.836 0.673 0.421 Zn
```

**DOS at the Fermi energy**: 0.0 states/eV/f.u.
**E_form (uncorrected)**: 89 meV/atom
**Theoretical density**: 5.659 g/cm³
**Crystal system**: monoclinic

=====

# 3
Computed, not measured: Sc3AlIn after structural relaxation at the GGA-PBEsol level of DFT.

```
Sc3AlIn
1.0
5.212 0.000 0.000
0.000 5.212 0.000
0.000 0.000 5.212
Sc Al In
3 1 1
direct
0.000 0.500 0.000 Sc
0.000 0.000 0.500 Sc
0.500 0.000 0.000 Sc
0.500 0.500 0.500 Al
0.000 0.000 0.000 In
```

**DOS at the Fermi energy**: 7.7 states/eV/f.u.
**Theoretical density**: 3.245 g/cm³
**Crystal system**: cubic
**Formation enthalpy at 0 K**: 0.488 eV per atom

=====

Magnetic moment, respectively: 0.00, 0.00, 0.00 μB per formula unit.